# 1
! InOsCl2 (PBE, relaxed); values from VASP
&SYSTEM
  ibrav = 0, nat = 4, ntyp = 3
/
ATOMIC_SPECIES
In 114.82 In.upf
Os 190.23 Os.upf
Cl 35.45 Cl.upf
ATOMIC_POSITIONS crystal
In 0.0000 0.0000 0.0000
Os 0.5000 0.5000 0.8682
Cl 0.0000 0.0000 0.2793
Cl 0.5000 0.5000 0.6213
CELL_PARAMETERS angstrom
2.8743 0.0000 0.0000
0.0000 4.1982 0.0000
0.0000 0.0000 8.8666
! polymorph energy (0 for the lowest one) = 216 meV per atom
! SG = No. 25
! DFT total energy = -4.188 eV/atom
! ρ = 5.8 g/cm³


# 2
! PrPu2Ir (PBE, relaxed); values from VASP
&SYSTEM
  ibrav = 0, nat = 32, ntyp = 3
/
ATOMIC_SPECIES
Pr 140.91 Pr.upf
Pu 244.00 Pu.upf
Ir 192.22 Ir.upf
ATOMIC_POSITIONS crystal
Pr 0.1064 0.2500 0.2343
Pr 0.1413 0.7500 0.9796
Pr 0.3587 0.2500 0.4796
Pr 0.3936 0.7500 0.7343
Pr 0.6064 0.2500 0.2657
Pr 0.6413 0.7500 0.5204
Pr 0.8587 0.2500 0.0204
Pr 0.8936 0.7500 0.7657
Pu 0.0357 0.0528 0.7404
Pu 0.0357 0.4472 0.7404
Pu 0.2151 0.5558 0.4600
Pu 0.2151 0.9442 0.4600
Pu 0.2849 0.0558 0.9600
Pu 0.2849 0.4442 0.9600
Pu 0.4643 0.5528 0.2404
Pu 0.4643 0.9472 0.2404
Pu 0.5357 0.0528 0.7596
Pu 0.5357 0.4472 0.7596
Pu 0.7151 0.5558 0.0400
Pu 0.7151 0.9442 0.0400
Pu 0.7849 0.0558 0.5400
Pu 0.7849 0.4442 0.5400
Pu 0.9643 0.5528 0.2596
Pu 0.9643 0.9472 0.2596
Ir 0.0726 0.7500 0.4932
Ir 0.1768 0.2500 0.7280
Ir 0.3232 0.7500 0.2280
Ir 0.4274 0.2500 0.9932
Ir 0.5726 0.7500 0.0068
Ir 0.6768 0.2500 0.7720
Ir 0.8232 0.7500 0.2720
Ir 0.9274 0.2500 0.5068
CELL_PARAMETERS angstrom
14.7260 0.0000 0.0000
0.0000 9.4971 0.0000
0.0000 0.0000 6.0083
! formation energy = -0.250 eV/atom
! polymorph energy (0 for the lowest one) = 0 meV per atom
! SG = No. 62
! DFT total energy = -10.826 eV/atom
! ρ = 13.0 g/cm³


# 3
! CdCO2F (PBE, relaxed); values from VASP
&SYSTEM
  ibrav = 0, nat = 5, ntyp = 4
/
ATOMIC_SPECIES
Cd 112.41 Cd.upf
C 12.01 C.upf
O 16.00 O.upf
F 19.00 F.upf
ATOMIC_POSITIONS crystal
Cd 0.0000 0.0000 0.0000
C 0.5000 0.5000 0.0000
O 0.0000 0.5000 0.5000
O 0.5000 0.0000 0.5000
F 0.5000 0.5000 0.5000
CELL_PARAMETERS angstrom
4.3368 0.0000 0.0000
0.0000 4.3368 0.0000
0.0000 0.0000 3.3319
! SG = No. 123
! DFT total energy = -2.951 eV/atom
! ρ = 4.6 g/cm³


> Which of these has the lowest DFT total energy?

PrPu2Ir


> What is the formula in the first record?

InOsCl2


Repeat the third record exactly.
! CdCO2F (PBE, relaxed); values from VASP
&SYSTEM
  ibrav = 0, nat = 5, ntyp = 4
/
ATOMIC_SPECIES
Cd 112.41 Cd.upf
C 12.01 C.upf
O 16.00 O.upf
F 19.00 F.upf
ATOMIC_POSITIONS crystal
Cd 0.0000 0.0000 0.0000
C 0.5000 0.5000 0.0000
O 0.0000 0.5000 0.5000
O 0.5000 0.0000 0.5000
F 0.5000 0.5000 0.5000
CELL_PARAMETERS angstrom
4.3368 0.0000 0.0000
0.0000 4.3368 0.0000
0.0000 0.0000 3.3319
! SG = No. 123
! DFT total energy = -2.951 eV/atom
! ρ = 4.6 g/cm³